# TbEr4Pd5, optimized geometry, DFT GGA-PBE
data_TbEr4Pd5
_symmetry_space_group_name_H-M 'P 4/m m m'
_symmetry_Int_Tables_number 123
_symmetry_space_group_name_Hall '-P 4 2'
_cell_length_a 3.4566
_cell_length_b 3.4566
_cell_length_c 17.7509
_cell_angle_alpha 90.00
_cell_angle_beta 90.00
_cell_angle_gamma 90.00
loop_
_atom_site_label
_atom_site_type_symbol
_atom_site_fract_x
_atom_site_fract_y
_atom_site_fract_z
Tb1 Tb 0.0000 0.0000 0.0000
Er1 Er 0.0000 0.0000 0.2020
Er2 Er 0.0000 0.0000 0.4007
Pd1 Pd 0.5000 0.5000 0.1038
Pd2 Pd 0.5000 0.5000 0.3013
Pd3 Pd 0.5000 0.5000 0.5000
# N(E_F) (states/eV/f.u.): 8.09
# Raw total energy (eV per atom): -5.7883

=====

# TbEr2Pd, optimized geometry, DFT GGA-PBE
data_TbEr2Pd
_symmetry_space_group_name_H-M 'P n m a'
_symmetry_Int_Tables_number 62
_cell_length_a 6.9969
_cell_length_b 9.6027
_cell_length_c 6.4491
_cell_angle_alpha 90.00
_cell_angle_beta 90.00
_cell_angle_gamma 90.00
loop_
_symmetry_equiv_pos_as_xyz
'x,y,z'
'-x,-y,-z'
'-x+1/2,-y,z+1/2'
'x+1/2,y,-z+1/2'
'x+1/2,-y+1/2,-z+1/2'
'-x+1/2,y+1/2,z+1/2'
'-x,y+1/2,-z'
'x,-y+1/2,z'
loop_
_atom_site_label
_atom_site_type_symbol
_atom_site_fract_x
_atom_site_fract_y
_atom_site_fract_z
Tb1 Tb 0.0198 0.2500 0.1302
Er1 Er 0.1801 0.0593 0.6758
Pd1 Pd 0.1106 0.7500 0.4393
# N(E_F) (states/eV/f.u.): 4.75
# Raw total energy (eV per atom): -5.2205

=====

# Tb3ErPd3, optimized geometry, DFT GGA-PBE
data_Tb3ErPd3
_symmetry_space_group_name_H-M 'C 1 2/m 1'
_symmetry_Int_Tables_number 12
_cell_length_a 9.2114
_cell_length_b 10.4581
_cell_length_c 7.1102
_cell_angle_alpha 90.00
_cell_angle_beta 92.22
_cell_angle_gamma 90.00
loop_
_symmetry_equiv_pos_as_xyz
'x,y,z'
'-x,-y,-z'
'-x,y,-z'
'x,-y,z'
'x+1/2,y+1/2,z'
'-x+1/2,-y+1/2,-z'
'-x+1/2,y+1/2,-z'
'x+1/2,-y+1/2,z'
loop_
_atom_site_label
_atom_site_type_symbol
_atom_site_fract_x
_atom_site_fract_y
_atom_site_fract_z
Tb1 Tb 0.0000 0.1762 0.0000
Tb2 Tb 0.0000 0.2522 0.5000
Tb3 Tb 0.1521 0.5000 0.8660
Er1 Er 0.2405 0.5000 0.3756
Pd1 Pd 0.0625 0.0000 0.3095
Pd2 Pd 0.2409 0.2581 0.2200
# N(E_F) (states/eV/f.u.): 4.91
# Raw total energy (eV per atom): -5.5575

=====

# TbEr2Pd8, optimized geometry, DFT GGA-PBE
data_TbEr2Pd8
_symmetry_space_group_name_H-M 'C 1 2/m 1'
_symmetry_Int_Tables_number 12
_cell_length_a 14.8086
_cell_length_b 4.1938
_cell_length_c 6.7493
_cell_angle_alpha 90.00
_cell_angle_beta 108.39
_cell_angle_gamma 90.00
loop_
_symmetry_equiv_pos_as_xyz
'x,y,z'
'-x,-y,-z'
'-x,y,-z'
'x,-y,z'
'x+1/2,y+1/2,z'
'-x+1/2,-y+1/2,-z'
'-x+1/2,y+1/2,-z'
'x+1/2,-y+1/2,z'
loop_
_atom_site_label
_atom_site_type_symbol
_atom_site_fract_x
_atom_site_fract_y
_atom_site_fract_z
Tb1 Tb 0.0000 0.0000 0.0000
Er1 Er 0.2179 0.5000 0.6661
Pd1 Pd 0.0379 0.5000 0.7169
Pd2 Pd 0.0925 0.0000 0.4529
Pd3 Pd 0.1425 0.5000 0.1835
Pd4 Pd 0.1779 0.0000 0.9076
# N(E_F) (states/eV/f.u.): 5.09
# Raw total energy (eV per atom): -5.8078

=====

# TbEr3Pd6, optimized geometry, DFT GGA-PBE
data_TbEr3Pd6
_symmetry_space_group_name_H-M 'P 1 21/m 1'
_symmetry_Int_Tables_number 11
_cell_length_a 8.0741
_cell_length_b 4.6046
_cell_length_c 11.2514
_cell_angle_alpha 90.00
_cell_angle_beta 103.90
_cell_angle_gamma 90.00
loop_
_symmetry_equiv_pos_as_xyz
'x,y,z'
'-x,-y,-z'
'-x,y+1/2,-z'
'x,-y+1/2,z'
loop_
_atom_site_label
_atom_site_type_symbol
_atom_site_fract_x
_atom_site_fract_y
_atom_site_fract_z
Tb1 Tb 0.0945 0.2500 0.4068
Er1 Er 0.1905 0.2500 0.9933
Er2 Er 0.3631 0.7500 0.8145
Er3 Er 0.4859 0.7500 0.3775
Pd1 Pd 0.0441 0.7500 0.8502
Pd2 Pd 0.1450 0.7500 0.1860
Pd3 Pd 0.1528 0.2500 0.7037
Pd4 Pd 0.2711 0.7500 0.5571
Pd5 Pd 0.3345 0.2500 0.2516
Pd6 Pd 0.4386 0.7500 0.0824
# N(E_F) (states/eV/f.u.): 4.91
# Raw total energy (eV per atom): -5.8269

=====

# Tb2ErPd2, optimized geometry, DFT GGA-PBE
data_Tb2ErPd2
_symmetry_space_group_name_H-M 'P 4/m b m'
_symmetry_Int_Tables_number 127
_symmetry_space_group_name_Hall '-P 4 2ab'
_cell_length_a 7.7882
_cell_length_b 7.7882
_cell_length_c 3.9675
_cell_angle_alpha 90.00
_cell_angle_beta 90.00
_cell_angle_gamma 90.00
loop_
_atom_site_label
_atom_site_type_symbol
_atom_site_fract_x
_atom_site_fract_y
_atom_site_fract_z
Tb1 Tb 0.1661 0.3339 0.0000
Er1 Er 0.0000 0.0000 0.5000
Pd1 Pd 0.1325 0.6325 0.5000
# N(E_F) (states/eV/f.u.): 4.06
# Raw total energy (eV per atom): -5.5761

=====

# Tb3Er3Pd2, optimized geometry, DFT GGA-PBE
data_Tb3Er3Pd2
_symmetry_space_group_name_H-M 'C m c m'
_symmetry_Int_Tables_number 63
_symmetry_space_group_name_Hall '-C 2c 2'
_cell_length_a 3.8355
_cell_length_b 12.7914
_cell_length_c 17.7787
_cell_angle_alpha 90.00
_cell_angle_beta 90.00
_cell_angle_gamma 90.00
loop_
_atom_site_label
_atom_site_type_symbol
_atom_site_fract_x
_atom_site_fract_y
_atom_site_fract_z
Tb1 Tb 0.0000 0.0494 0.1039
Tb2 Tb 0.0000 0.3503 0.2500
Er1 Er 0.0000 0.3457 0.0423
Er2 Er 0.0000 0.3837 0.7500
Pd1 Pd 0.0000 0.2521 0.6278
# N(E_F) (states/eV/f.u.): 7.79
# Raw total energy (eV per atom): -5.1320

=====

# Tb4ErPd2, optimized geometry, DFT GGA-PBE
data_Tb4ErPd2
_symmetry_space_group_name_H-M 'R -3 m'
_symmetry_Int_Tables_number 166
_symmetry_space_group_name_Hall '-R 3 2"'
_cell_length_a 3.9846
_cell_length_b 3.9846
_cell_length_c 44.7976
_cell_angle_alpha 90.00
_cell_angle_beta 90.00
_cell_angle_gamma 120.00
loop_
_atom_site_label
_atom_site_type_symbol
_atom_site_fract_x
_atom_site_fract_y
_atom_site_fract_z
Tb1 Tb 0.0000 0.0000 0.1050
Tb2 Tb 0.0000 0.0000 0.3016
Er1 Er 0.0000 0.0000 0.5000
Pd1 Pd 0.0000 0.0000 0.4016
# N(E_F) (states/eV/f.u.): 8.45
# Raw total energy (eV per atom): -5.1184